Version i
DFT (PBE) results for a relaxed Cs2RbSeCl6 crystal.

Unit cell a=14.306 b=14.306 c=14.306 alpha=32.90 beta=32.90 gamma=32.90
Fractional positions:
Cs 0.139 0.139 0.139
Cs 0.269 0.269 0.269
Cs 0.731 0.731 0.731
Cs 0.861 0.861 0.861
Rb 0.411 0.411 0.411
Rb 0.589 0.589 0.589
Se 0.000 0.000 0.000
Se 0.500 0.500 0.500
Cl 0.123 0.632 0.632
Cl 0.176 0.176 0.753
Cl 0.176 0.753 0.176
Cl 0.247 0.824 0.824
Cl 0.368 0.368 0.877
Cl 0.368 0.877 0.368
Cl 0.632 0.123 0.632
Cl 0.632 0.632 0.123
Cl 0.753 0.176 0.176
Cl 0.824 0.247 0.824
Cl 0.824 0.824 0.247
Cl 0.877 0.368 0.368

DOS at the Fermi energy = 7.043 states/eV per cell
total magnetic moment = 2.0 Bohr magnetons per cell

Version ii
DFT (PBE) results for a relaxed Cs2RbSeCl6 crystal.

Unit cell a=8.289 b=8.289 c=8.289 alpha=123.71 beta=123.71 gamma=83.69
Fractional positions:
Cs 0.250 0.750 0.500
Cs 0.750 0.250 0.500
Rb 0.000 0.000 0.000
Se 0.500 0.500 0.000
Cl 0.254 0.254 0.000
Cl 0.282 0.282 0.565
Cl 0.282 0.718 0.000
Cl 0.718 0.282 0.000
Cl 0.718 0.718 0.435
Cl 0.746 0.746 0.000

DOS at the Fermi energy = 0.000 states/eV per cell
total magnetic moment = 1.0 Bohr magnetons per cell

Most favorable structure: version ii. The second most favorable one is 59 meV/atom above it.

Version i
DFT (PBE) results for a relaxed Cs2RbTbCl6 crystal.

Unit cell a=8.198 b=8.198 c=8.198 alpha=60.00 beta=60.00 gamma=60.00
Fractional positions:
Cs 0.250 0.250 0.250
Cs 0.750 0.750 0.750
Rb 0.000 0.000 0.000
Tb 0.500 0.500 0.500
Cl 0.271 0.271 0.729
Cl 0.271 0.729 0.271
Cl 0.271 0.729 0.729
Cl 0.729 0.271 0.271
Cl 0.729 0.271 0.729
Cl 0.729 0.729 0.271

DOS at the Fermi energy = 0.000 states/eV per cell
total magnetic moment = 0.0 Bohr magnetons per cell

Version ii
DFT (PBE) results for a relaxed Cs2RbTbCl6 crystal.

Unit cell a=8.009 b=8.321 c=13.958 alpha=90.00 beta=124.89 gamma=90.00
Fractional positions:
Cs 0.231 0.058 0.249
Cs 0.231 0.442 0.749
Cs 0.769 0.558 0.251
Cs 0.769 0.942 0.751
Rb 0.000 0.000 0.500
Rb 0.000 0.500 0.000
Tb 0.500 0.000 0.000
Tb 0.500 0.500 0.500
Cl 0.190 0.181 0.959
Cl 0.190 0.319 0.459
Cl 0.273 0.735 0.949
Cl 0.273 0.765 0.449
Cl 0.365 0.030 0.776
Cl 0.365 0.470 0.276
Cl 0.635 0.530 0.724
Cl 0.635 0.970 0.224
Cl 0.727 0.235 0.551
Cl 0.727 0.265 0.051
Cl 0.810 0.681 0.541
Cl 0.810 0.819 0.041

DOS at the Fermi energy = 0.000 states/eV per cell
total magnetic moment = 0.0 Bohr magnetons per cell

Most favorable structure: version ii. The second most favorable one is 23 meV/atom above it.

Version i
DFT (PBE) results for a relaxed Cs2RbTeCl6 crystal.

Unit cell a=8.211 b=8.211 c=8.211 alpha=118.61 beta=118.61 gamma=92.42
Fractional positions:
Cs 0.250 0.750 0.500
Cs 0.750 0.250 0.500
Rb 0.000 0.000 0.000
Te 0.500 0.500 0.000
Cl 0.264 0.264 0.528
Cl 0.264 0.736 0.000
Cl 0.275 0.275 0.000
Cl 0.725 0.725 0.000
Cl 0.736 0.264 0.000
Cl 0.736 0.736 0.472

DOS at the Fermi energy = 7.994 states/eV per cell
total magnetic moment = 1.0 Bohr magnetons per cell

Version ii
DFT (PBE) results for a relaxed Cs2RbTeCl6 crystal.

Unit cell a=13.886 b=13.886 c=13.886 alpha=35.75 beta=35.75 gamma=35.75
Fractional positions:
Cs 0.135 0.135 0.135
Cs 0.263 0.263 0.263
Cs 0.737 0.737 0.737
Cs 0.865 0.865 0.865
Rb 0.413 0.413 0.413
Rb 0.587 0.587 0.587
Te 0.000 0.000 0.000
Te 0.500 0.500 0.500
Cl 0.117 0.641 0.641
Cl 0.179 0.179 0.757
Cl 0.179 0.757 0.179
Cl 0.243 0.821 0.821
Cl 0.359 0.359 0.883
Cl 0.359 0.883 0.359
Cl 0.641 0.117 0.641
Cl 0.641 0.641 0.117
Cl 0.757 0.179 0.179
Cl 0.821 0.243 0.821
Cl 0.821 0.821 0.243
Cl 0.883 0.359 0.359

DOS at the Fermi energy = 0.169 states/eV per cell
total magnetic moment = 0.0 Bohr magnetons per cell

Most favorable structure: version ii. The second most favorable one is 5 meV/atom above it.

Version i
DFT (PBE) results for a relaxed CsRe3Cl crystal.

Unit cell a=4.647 b=4.647 c=4.647 alpha=90.00 beta=90.00 gamma=90.00
Fractional positions:
Cs 0.000 0.000 0.000
Re 0.000 0.500 0.500
Re 0.500 0.000 0.500
Re 0.500 0.500 0.000
Cl 0.500 0.500 0.500

DOS at the Fermi energy = 3.754 states/eV per cell
total magnetic moment = 2.9 Bohr magnetons per cell

Version ii
DFT (PBE) results for a relaxed CsRe3Cl crystal.

Unit cell a=5.076 b=5.076 c=5.076 alpha=90.00 beta=90.00 gamma=90.00
Fractional positions:
Cs 0.000 0.000 0.000
Re 0.000 0.000 0.500
Re 0.000 0.500 0.000
Re 0.500 0.000 0.000
Cl 0.500 0.500 0.500

DOS at the Fermi energy = 8.866 states/eV per cell
total magnetic moment = 6.2 Bohr magnetons per cell

Most favorable structure: version i. The second most favorable one is 1690 meV/atom above it.

Version i
DFT (PBE) results for a relaxed CsReCl2 crystal.

Unit cell a=7.956 b=7.956 c=7.956 alpha=90.00 beta=90.00 gamma=90.00
Fractional positions:
Cs 0.000 0.000 0.000
Cs 0.000 0.500 0.500
Cs 0.500 0.000 0.500
Cs 0.500 0.500 0.000
Re 0.000 0.000 0.500
Re 0.000 0.500 0.000
Re 0.500 0.000 0.000
Re 0.500 0.500 0.500
Cl 0.250 0.250 0.250
Cl 0.250 0.250 0.750
Cl 0.250 0.750 0.250
Cl 0.250 0.750 0.750
Cl 0.750 0.250 0.250
Cl 0.750 0.250 0.750
Cl 0.750 0.750 0.250
Cl 0.750 0.750 0.750

DOS at the Fermi energy = 0.000 states/eV per cell
total magnetic moment = 24.0 Bohr magnetons per cell

Version ii
DFT (PBE) results for a relaxed CsReCl2 crystal.

Unit cell a=6.225 b=6.225 c=13.075 alpha=90.00 beta=90.00 gamma=90.00
Fractional positions:
Cs 0.000 0.000 0.000
Cs 0.000 0.500 0.250
Cs 0.500 0.000 0.750
Cs 0.500 0.500 0.500
Re 0.000 0.000 0.500
Re 0.000 0.500 0.750
Re 0.500 0.000 0.250
Re 0.500 0.500 0.000
Cl 0.094 0.250 0.625
Cl 0.250 0.594 0.875
Cl 0.250 0.906 0.375
Cl 0.406 0.250 0.125
Cl 0.594 0.750 0.125
Cl 0.750 0.094 0.375
Cl 0.750 0.406 0.875
Cl 0.906 0.750 0.625

DOS at the Fermi energy = 6.027 states/eV per cell
total magnetic moment = 0.0 Bohr magnetons per cell

Most favorable structure: version ii. The second most favorable one is 278 meV/atom above it.

Version i
DFT (PBE) results for a relaxed CsReCl3 crystal.

Unit cell a=5.189 b=7.902 c=9.191 alpha=112.13 beta=106.36 gamma=90.02
Fractional positions:
Cs 0.105 0.357 0.210
Cs 0.895 0.643 0.790
Re 0.253 0.998 0.505
Re 0.747 0.002 0.495
Cl 0.107 0.886 0.213
Cl 0.288 0.741 0.576
Cl 0.344 0.312 0.689
Cl 0.656 0.688 0.311
Cl 0.712 0.259 0.424
Cl 0.893 0.114 0.787

DOS at the Fermi energy = 3.168 states/eV per cell
total magnetic moment = 2.3 Bohr magnetons per cell

Version ii
DFT (PBE) results for a relaxed CsReCl3 crystal.

Unit cell a=5.033 b=5.033 c=5.033 alpha=90.00 beta=90.00 gamma=90.00
Fractional positions:
Cs 0.000 0.000 0.000
Re 0.500 0.500 0.500
Cl 0.000 0.500 0.500
Cl 0.500 0.000 0.500
Cl 0.500 0.500 0.000

DOS at the Fermi energy = 2.217 states/eV per cell
total magnetic moment = 2.9 Bohr magnetons per cell

Most favorable structure: version i. The second most favorable one is 133 meV/atom above it.

Version i
DFT (PBE) results for a relaxed CsRu2Cl crystal.

Unit cell a=4.964 b=4.964 c=16.651 alpha=90.00 beta=90.00 gamma=90.00
Fractional positions:
Cs 0.000 0.000 0.000
Cs 0.000 0.500 0.250
Cs 0.500 0.000 0.750
Cs 0.500 0.500 0.500
Ru 0.004 0.250 0.625
Ru 0.250 0.504 0.875
Ru 0.250 0.996 0.375
Ru 0.496 0.250 0.125
Ru 0.504 0.750 0.125
Ru 0.750 0.004 0.375
Ru 0.750 0.496 0.875
Ru 0.996 0.750 0.625
Cl 0.000 0.000 0.500
Cl 0.000 0.500 0.750
Cl 0.500 0.000 0.250
Cl 0.500 0.500 0.000

DOS at the Fermi energy = 14.609 states/eV per cell
total magnetic moment = 2.4 Bohr magnetons per cell

Version ii
DFT (PBE) results for a relaxed CsRu2Cl crystal.

Unit cell a=6.919 b=6.919 c=6.919 alpha=90.00 beta=90.00 gamma=90.00
Fractional positions:
Cs 0.000 0.000 0.000
Cs 0.000 0.500 0.500
Cs 0.500 0.000 0.500
Cs 0.500 0.500 0.000
Ru 0.250 0.250 0.250
Ru 0.250 0.250 0.750
Ru 0.250 0.750 0.250
Ru 0.250 0.750 0.750
Ru 0.750 0.250 0.250
Ru 0.750 0.250 0.750
Ru 0.750 0.750 0.250
Ru 0.750 0.750 0.750
Cl 0.000 0.000 0.500
Cl 0.000 0.500 0.000
Cl 0.500 0.000 0.000
Cl 0.500 0.500 0.500

DOS at the Fermi energy = 15.442 states/eV per cell
total magnetic moment = 16.4 Bohr magnetons per cell

Most favorable structure: version i. The second most favorable one is 875 meV/atom above it.

Version i
DFT (PBE) results for a relaxed CsRu3Cl crystal.

Unit cell a=4.616 b=4.616 c=4.616 alpha=90.00 beta=90.00 gamma=90.00
Fractional positions:
Cs 0.000 0.000 0.000
Ru 0.000 0.500 0.500
Ru 0.500 0.000 0.500
Ru 0.500 0.500 0.000
Cl 0.500 0.500 0.500

DOS at the Fermi energy = 9.424 states/eV per cell
total magnetic moment = 0.0 Bohr magnetons per cell

Version ii
DFT (PBE) results for a relaxed CsRu3Cl crystal.

Unit cell a=5.085 b=5.085 c=5.085 alpha=90.00 beta=90.00 gamma=90.00
Fractional positions:
Cs 0.000 0.000 0.000
Ru 0.000 0.000 0.500
Ru 0.000 0.500 0.000
Ru 0.500 0.000 0.000
Cl 0.500 0.500 0.500

DOS at the Fermi energy = 5.751 states/eV per cell
total magnetic moment = 6.0 Bohr magnetons per cell

Most favorable structure: version i. The second most favorable one is 1184 meV/atom above it.

Version i
DFT (PBE) results for a relaxed CsRuCl2 crystal.

Unit cell a=7.595 b=7.595 c=7.595 alpha=90.00 beta=90.00 gamma=90.00
Fractional positions:
Cs 0.000 0.000 0.000
Cs 0.000 0.500 0.500
Cs 0.500 0.000 0.500
Cs 0.500 0.500 0.000
Ru 0.000 0.000 0.500
Ru 0.000 0.500 0.000
Ru 0.500 0.000 0.000
Ru 0.500 0.500 0.500
Cl 0.250 0.250 0.250
Cl 0.250 0.250 0.750
Cl 0.250 0.750 0.250
Cl 0.250 0.750 0.750
Cl 0.750 0.250 0.250
Cl 0.750 0.250 0.750
Cl 0.750 0.750 0.250
Cl 0.750 0.750 0.750

DOS at the Fermi energy = 0.000 states/eV per cell
total magnetic moment = 12.0 Bohr magnetons per cell

Version ii
DFT (PBE) results for a relaxed CsRuCl2 crystal.

Unit cell a=5.032 b=5.032 c=24.974 alpha=90.00 beta=90.00 gamma=120.00
Fractional positions:
Cs 0.000 0.000 0.000
Cs 0.333 0.667 0.667
Cs 0.667 0.333 0.333
Ru 0.000 0.000 0.500
Ru 0.333 0.667 0.167
Ru 0.667 0.333 0.833
Cl 0.000 0.000 0.407
Cl 0.000 0.000 0.593
Cl 0.333 0.667 0.074
Cl 0.333 0.667 0.260
Cl 0.667 0.333 0.740
Cl 0.667 0.333 0.926

DOS at the Fermi energy = 13.519 states/eV per cell
total magnetic moment = 9.0 Bohr magnetons per cell

Most favorable structure: version ii. The second most favorable one is 272 meV/atom above it.

Version i
DFT (PBE) results for a relaxed Cs2RuCl7 crystal.

Unit cell a=9.351 b=9.351 c=13.593 alpha=125.46 beta=125.46 gamma=45.70
Fractional positions:
Cs 0.136 0.191 0.052
Cs 0.191 0.136 0.552
Cs 0.809 0.864 0.448
Cs 0.864 0.809 0.948
Ru 0.495 0.505 0.750
Ru 0.505 0.495 0.250
Cl 0.162 0.692 0.271
Cl 0.164 0.836 0.750
Cl 0.296 0.517 0.818
Cl 0.308 0.838 0.229
Cl 0.346 0.365 0.532
Cl 0.365 0.346 0.032
Cl 0.483 0.704 0.682
Cl 0.517 0.296 0.318
Cl 0.635 0.654 0.968
Cl 0.654 0.635 0.468
Cl 0.692 0.162 0.771
Cl 0.704 0.483 0.182
Cl 0.836 0.164 0.250
Cl 0.838 0.308 0.729

DOS at the Fermi energy = 20.828 states/eV per cell
total magnetic moment = 1.4 Bohr magnetons per cell

Version ii
DFT (PBE) results for a relaxed Cs2RuCl7 crystal.

Unit cell a=7.802 b=7.802 c=7.802 alpha=120.48 beta=120.48 gamma=89.17
Fractional positions:
Cs 0.250 0.750 0.500
Cs 0.750 0.250 0.500
Ru 0.000 0.000 0.000
Cl 0.211 0.211 0.000
Cl 0.214 0.214 0.428
Cl 0.214 0.786 0.000
Cl 0.500 0.500 0.000
Cl 0.786 0.214 0.000
Cl 0.786 0.786 0.572
Cl 0.789 0.789 0.000

DOS at the Fermi energy = 8.255 states/eV per cell
total magnetic moment = 3.0 Bohr magnetons per cell

Most favorable structure: version ii. The second most favorable one is 81 meV/atom above it.

Version i
DFT (PBE) results for a relaxed CsRuS2Cl crystal.

Unit cell a=4.650 b=4.650 c=5.610 alpha=90.00 beta=90.00 gamma=90.00
Fractional positions:
Cs 0.000 0.000 0.000
Ru 0.500 0.500 0.500
S 0.000 0.500 0.500
S 0.500 0.000 0.500
Cl 0.500 0.500 0.000

DOS at the Fermi energy = 4.527 states/eV per cell
total magnetic moment = 0.5 Bohr magnetons per cell

Version ii
DFT (PBE) results for a relaxed CsRuS2Cl crystal.

Unit cell a=5.421 b=5.421 c=6.117 alpha=90.00 beta=90.00 gamma=90.00
Fractional positions:
Cs 0.000 0.000 0.000
Ru 0.500 0.500 0.500
S 0.000 0.500 0.000
S 0.500 0.000 0.000
Cl 0.000 0.000 0.500

DOS at the Fermi energy = 6.674 states/eV per cell
total magnetic moment = 3.6 Bohr magnetons per cell

Most favorable structure: version i. The second most favorable one is 1988 meV/atom above it.

Version i
DFT (PBE) results for a relaxed CsSrS2Cl crystal.

Unit cell a=5.461 b=5.461 c=5.962 alpha=90.00 beta=90.00 gamma=90.00
Fractional positions:
Cs 0.000 0.000 0.000
Sr 0.500 0.500 0.500
S 0.000 0.500 0.000
S 0.500 0.000 0.000
Cl 0.000 0.000 0.500

DOS at the Fermi energy = 0.336 states/eV per cell
total magnetic moment = 0.0 Bohr magnetons per cell

Version ii
DFT (PBE) results for a relaxed CsSrS2Cl crystal.

Unit cell a=5.812 b=5.812 c=5.776 alpha=90.00 beta=90.00 gamma=90.00
Fractional positions:
Cs 0.000 0.000 0.000
Sr 0.500 0.500 0.500
S 0.000 0.500 0.500
S 0.500 0.000 0.500
Cl 0.500 0.500 0.000

DOS at the Fermi energy = 6.975 states/eV per cell
total magnetic moment = 2.0 Bohr magnetons per cell

Most favorable structure: version ii. The second most favorable one is 676 meV/atom above it.